#a
The following is a DFT calculation (PBE) of a relaxed structure of MgZn2Se4.

Cell lengths 3.8666, 3.8666, 38.2132 Å; angles 90.00, 90.00, 120.00 degrees
Space group R-3m (No. 166, hexagonal axes)
Symmetry-distinct sites (fractional):
Mg (0.0000, 0.0000, 0.0000) (multiplicity 3)
Zn (0.0000, 0.0000, 0.2543) (multiplicity 6)
Se (0.0000, 0.0000, 0.1925) (multiplicity 6)
Se (0.0000, 0.0000, 0.3760) (multiplicity 6)

---

#b
The following is a DFT calculation (PBE) of a relaxed structure of MgZn2Se4.

Cell lengths 7.3065, 7.3065, 11.4647 Å; angles 90.00, 90.00, 90.00 degrees
Space group I4/mcm (No. 140)
Symmetry-distinct sites (fractional):
Mg (0.0000, 0.0000, 0.2500) (multiplicity 4)
Zn (0.1271, 0.3729, 0.0000) (multiplicity 8)
Se (0.1908, 0.3092, 0.3576) (multiplicity 16)

---

Relative calculated energies, zero for the most stable structure, unit eV/atom: #a 0.043; #b 0.000.

---

#a
The following is a DFT calculation (PBE) of a relaxed structure of MgZn2Se4.

Cell lengths 7.6433, 7.6433, 5.4007 Å; angles 90.00, 90.00, 90.00 degrees
Space group I4/mmm (No. 139)
Symmetry-distinct sites (fractional):
Mg (0.0000, 0.0000, 0.0000) (multiplicity 2)
Zn (0.0000, 0.5000, 0.2500) (multiplicity 4)
Se (0.2459, 0.2459, 0.0000) (multiplicity 8)

---

#b
The following is a DFT calculation (PBE) of a relaxed structure of MgZn2Se4.

Cell lengths 4.9803, 4.9803, 14.0781 Å; angles 90.00, 90.00, 90.00 degrees
Space group I4/mmm (No. 139)
Symmetry-distinct sites (fractional):
Mg (0.0000, 0.0000, 0.0000) (multiplicity 2)
Zn (0.0000, 0.0000, 0.4082) (multiplicity 4)
Se (0.0000, 0.0000, 0.2422) (multiplicity 4)
Se (0.0000, 0.5000, 0.0000) (multiplicity 4)

---

Relative calculated energies, zero for the most stable structure, unit eV/atom: #a 0.060; #b 0.000.

---

#a
The following is a DFT calculation (PBE) of a relaxed structure of Mg2Zn2Se.

Cell lengths 5.8376, 3.7162, 9.7226 Å; angles 90.00, 99.87, 90.00 degrees
Space group P2_1/m (No. 11)
Symmetry-distinct sites (fractional):
Mg (0.1685, 0.2500, 0.1063) (multiplicity 2)
Mg (0.2701, 0.7500, 0.4659) (multiplicity 2)
Zn (0.3521, 0.7500, 0.9400) (multiplicity 2)
Zn (0.4210, 0.2500, 0.7361) (multiplicity 2)
Se (0.0076, 0.7500, 0.6691) (multiplicity 2)

---

#b
The following is a DFT calculation (PBE) of a relaxed structure of Mg2Zn2Se.

Cell lengths 5.2043, 16.7773, 4.6741 Å; angles 90.00, 90.00, 90.00 degrees
Space group Cmc2_1 (No. 36)
Symmetry-distinct sites (fractional):
Mg (0.0000, 0.1452, 0.0000) (multiplicity 4)
Mg (0.0000, 0.3348, 0.9992) (multiplicity 4)
Zn (0.0000, 0.0320, 0.5009) (multiplicity 4)
Zn (0.0000, 0.2381, 0.4996) (multiplicity 4)
Se (0.0000, 0.4101, 0.4989) (multiplicity 4)

---

Relative calculated energies, zero for the most stable structure, unit eV/atom: #a 0.000; #b 0.033.

---

#a
The following is a DFT calculation (PBE) of a relaxed structure of Mg2Zn2Se.

Cell lengths 4.1480, 7.7535, 6.5719 Å; angles 90.00, 90.00, 90.00 degrees
Space group Cmmm (No. 65)
Symmetry-distinct sites (fractional):
Mg (0.0000, 0.0000, 0.2367) (multiplicity 4)
Zn (0.0000, 0.3363, 0.0000) (multiplicity 4)
Se (0.0000, 0.5000, 0.5000) (multiplicity 2)

---

#b
The following is a DFT calculation (PBE) of a relaxed structure of Mg2Zn2Se.

Cell lengths 4.4195, 13.1714, 7.4724 Å; angles 90.00, 90.00, 90.00 degrees
Space group Cmc2_1 (No. 36)
Symmetry-distinct sites (fractional):
Mg (0.0000, 0.1315, 0.0000) (multiplicity 4)
Mg (0.0000, 0.3628, 0.9505) (multiplicity 4)
Zn (0.0000, 0.2350, 0.6357) (multiplicity 4)
Zn (0.0000, 0.2897, 0.3026) (multiplicity 4)
Se (0.0000, 0.0500, 0.3341) (multiplicity 4)

---

Relative calculated energies, zero for the most stable structure, unit eV/atom: #a 0.041; #b 0.000.

---

#a
The following is a DFT calculation (PBE) of a relaxed structure of Mg2Zn2Se.

Cell lengths 6.9301, 6.9301, 4.1031 Å; angles 90.00, 90.00, 90.00 degrees
Space group P4/mbm (No. 127)
Symmetry-distinct sites (fractional):
Mg (0.1664, 0.3336, 0.0000) (multiplicity 4)
Zn (0.1300, 0.6300, 0.5000) (multiplicity 4)
Se (0.0000, 0.0000, 0.5000) (multiplicity 2)

---

#b
The following is a DFT calculation (PBE) of a relaxed structure of Mg2Zn2Se.

Cell lengths 3.3556, 7.6408, 8.2931 Å; angles 90.00, 90.00, 90.00 degrees
Space group Immm (No. 71)
Symmetry-distinct sites (fractional):
Mg (0.0000, 0.2188, 0.0000) (multiplicity 4)
Zn (0.0000, 0.5000, 0.2882) (multiplicity 4)
Se (0.0000, 0.0000, 0.5000) (multiplicity 2)

---

Relative calculated energies, zero for the most stable structure, unit eV/atom: #a 0.000; #b 0.012.

---

#a
The following is a DFT calculation (PBE) of a relaxed structure of Mg2Zn2Se.

Cell lengths 13.8601, 4.3863, 6.6152 Å; angles 90.00, 90.00, 90.00 degrees
Space group Cmcm (No. 63)
Symmetry-distinct sites (fractional):
Mg (0.1243, 0.0000, 0.0000) (multiplicity 8)
Zn (0.2036, 0.4856, 0.2500) (multiplicity 8)
Se (0.0000, 0.2870, 0.7500) (multiplicity 4)

---

#b
The following is a DFT calculation (PBE) of a relaxed structure of Mg2Zn2Se.

Cell lengths 3.8850, 3.8850, 13.6990 Å; angles 90.00, 90.00, 90.00 degrees
Space group P4/nmm (No. 129, origin choice 2)
Symmetry-distinct sites (fractional):
Mg (0.2500, 0.2500, 0.1550) (multiplicity 2)
Mg (0.2500, 0.7500, 0.5000) (multiplicity 2)
Zn (0.2500, 0.2500, 0.3523) (multiplicity 2)
Zn (0.2500, 0.7500, 0.0000) (multiplicity 2)
Se (0.2500, 0.2500, 0.7044) (multiplicity 2)

---

Relative calculated energies, zero for the most stable structure, unit eV/atom: #a 0.000; #b 0.280.